DFT (GGA-PBE) results for TmNpHgO6 after structural relaxation. Values from VASP.

Results
E_form (uncorrected), meV/atom: -2308

Structure (Quantum ESPRESSO input):
```
&SYSTEM
  ibrav = 0, nat = 18, ntyp = 4
/
ATOMIC_SPECIES
Tm 168.93 Tm.upf
Np 237.00 Np.upf
Hg 200.59 Hg.upf
O 16.00 O.upf
ATOMIC_POSITIONS crystal
Tm 0.000 0.000 0.000
Tm 0.500 0.500 0.500
Np 0.000 0.000 0.664
Np 0.500 0.500 0.164
Hg 0.000 0.000 0.331
Hg 0.500 0.500 0.831
O 0.178 0.178 0.819
O 0.197 0.197 0.522
O 0.222 0.222 0.154
O 0.278 0.722 0.654
O 0.303 0.697 0.022
O 0.322 0.678 0.319
O 0.678 0.322 0.319
O 0.697 0.303 0.022
O 0.722 0.278 0.654
O 0.778 0.778 0.154
O 0.803 0.803 0.522
O 0.822 0.822 0.819
CELL_PARAMETERS angstrom
5.125 0.000 0.000
0.000 5.125 0.000
0.000 0.000 10.244
```